No. 1
# Te2PCl, relaxed, DFT PBE-GGA
data_Te2PCl
_chemical_formula_sum 'Te4 P2 Cl2'
_cell_length_a 8.154
_cell_length_b 8.220
_cell_length_c 3.095
_cell_angle_alpha 90.00
_cell_angle_beta 91.35
_cell_angle_gamma 90.00
_space_group_name_H-M_alt 'P 1'
_space_group_IT_number 1
loop_
_space_group_symop_operation_xyz
'x,y,z'
loop_
_atom_site_label
_atom_site_type_symbol
_atom_site_fract_x
_atom_site_fract_y
_atom_site_fract_z
Te1 Te 0.250 0.250 0.000
Te2 Te 0.250 0.750 0.000
Te3 Te 0.750 0.250 0.000
Te4 Te 0.750 0.750 0.000
P1 P 0.000 0.000 0.000
P2 P 0.500 0.500 0.000
Cl1 Cl 0.000 0.500 0.000
Cl2 Cl 0.500 0.000 0.000
# ΔE to the lowest computed polymorph, eV per formula unit: 1.39
# SG: No. 12
# E_form (uncorrected), meV per atom: 253



No. 2
# Ac6US12, relaxed, DFT PBE-GGA
data_Ac6US12
_chemical_formula_sum 'Ac6 U1 S12'
_cell_length_a 8.404
_cell_length_b 8.404
_cell_length_c 8.404
_cell_angle_alpha 98.40
_cell_angle_beta 98.40
_cell_angle_gamma 98.40
_space_group_name_H-M_alt 'P 1'
_space_group_IT_number 1
loop_
_space_group_symop_operation_xyz
'x,y,z'
loop_
_atom_site_label
_atom_site_type_symbol
_atom_site_fract_x
_atom_site_fract_y
_atom_site_fract_z
Ac1 Ac 0.124 0.642 0.811
Ac2 Ac 0.189 0.876 0.358
Ac3 Ac 0.358 0.189 0.876
Ac4 Ac 0.642 0.811 0.124
Ac5 Ac 0.811 0.124 0.642
Ac6 Ac 0.876 0.358 0.189
U1 U 0.500 0.500 0.500
S1 S 0.063 0.323 0.911
S2 S 0.089 0.937 0.677
S3 S 0.196 0.529 0.440
S4 S 0.323 0.911 0.063
S5 S 0.440 0.196 0.529
S6 S 0.471 0.560 0.804
S7 S 0.529 0.440 0.196
S8 S 0.560 0.804 0.471
S9 S 0.677 0.089 0.937
S10 S 0.804 0.471 0.560
S11 S 0.911 0.063 0.323
S12 S 0.937 0.677 0.089
# SG: No. 148
# E_form (uncorrected), meV per atom: -1980



No. 3
# Sr3CrC, relaxed, DFT PBE-GGA
data_Sr3CrC
_chemical_formula_sum 'Sr3 Cr1 C1'
_cell_length_a 5.473
_cell_length_b 5.473
_cell_length_c 5.473
_cell_angle_alpha 90.00
_cell_angle_beta 90.00
_cell_angle_gamma 90.00
_space_group_name_H-M_alt 'P 1'
_space_group_IT_number 1
loop_
_space_group_symop_operation_xyz
'x,y,z'
loop_
_atom_site_label
_atom_site_type_symbol
_atom_site_fract_x
_atom_site_fract_y
_atom_site_fract_z
Sr1 Sr 0.000 0.000 0.500
Sr2 Sr 0.000 0.500 0.000
Sr3 Sr 0.500 0.000 0.000
Cr1 Cr 0.500 0.500 0.500
C1 C 0.000 0.000 0.000
# ΔE to the lowest computed polymorph, eV per formula unit: 0.00
# SG: No. 221



No. 4
# PmSc6In, relaxed, DFT PBE-GGA
data_PmSc6In
_chemical_formula_sum 'Pm2 Sc12 In2'
_cell_length_a 6.067
_cell_length_b 10.722
_cell_length_c 6.296
_cell_angle_alpha 90.00
_cell_angle_beta 93.48
_cell_angle_gamma 90.00
_space_group_name_H-M_alt 'P 1'
_space_group_IT_number 1
loop_
_space_group_symop_operation_xyz
'x,y,z'
loop_
_atom_site_label
_atom_site_type_symbol
_atom_site_fract_x
_atom_site_fract_y
_atom_site_fract_z
Pm1 Pm 0.000 0.000 0.000
Pm2 Pm 0.500 0.500 0.000
Sc1 Sc 0.030 0.500 0.257
Sc2 Sc 0.197 0.232 0.250
Sc3 Sc 0.197 0.768 0.250
Sc4 Sc 0.303 0.268 0.750
Sc5 Sc 0.303 0.732 0.750
Sc6 Sc 0.470 0.000 0.743
Sc7 Sc 0.530 0.000 0.257
Sc8 Sc 0.697 0.268 0.250
Sc9 Sc 0.697 0.732 0.250
Sc10 Sc 0.803 0.232 0.750
Sc11 Sc 0.803 0.768 0.750
Sc12 Sc 0.970 0.500 0.743
In1 In 0.000 0.000 0.500
In2 In 0.500 0.500 0.500
# Electronic total energy, eV per atom: -5.577
# SG: No. 12



No. 5
# Al2FeNi, relaxed, DFT PBE-GGA
data_Al2FeNi
_chemical_formula_sum 'Al4 Fe2 Ni2'
_cell_length_a 3.082
_cell_length_b 3.862
_cell_length_c 8.347
_cell_angle_alpha 90.00
_cell_angle_beta 90.00
_cell_angle_gamma 90.00
_space_group_name_H-M_alt 'P 1'
_space_group_IT_number 1
loop_
_space_group_symop_operation_xyz
'x,y,z'
loop_
_atom_site_label
_atom_site_type_symbol
_atom_site_fract_x
_atom_site_fract_y
_atom_site_fract_z
Al1 Al 0.000 0.000 0.000
Al2 Al 0.000 0.500 0.232
Al3 Al 0.500 0.000 0.732
Al4 Al 0.500 0.500 0.500
Fe1 Fe 0.000 0.500 0.747
Fe2 Fe 0.500 0.000 0.247
Ni1 Ni 0.000 0.000 0.492
Ni2 Ni 0.500 0.500 0.992
# Electronic total energy, eV per atom: -5.804
# SG: No. 44



No. 6
# Y3Mo4, relaxed, DFT PBE-GGA
data_Y3Mo4
_chemical_formula_sum 'Y3 Mo4'
_cell_length_a 6.017
_cell_length_b 6.017
_cell_length_c 4.864
_cell_angle_alpha 90.00
_cell_angle_beta 90.00
_cell_angle_gamma 120.00
_space_group_name_H-M_alt 'P 1'
_space_group_IT_number 1
loop_
_space_group_symop_operation_xyz
'x,y,z'
loop_
_atom_site_label
_atom_site_type_symbol
_atom_site_fract_x
_atom_site_fract_y
_atom_site_fract_z
Y1 Y 0.000 0.500 0.000
Y2 Y 0.500 0.000 0.000
Y3 Y 0.500 0.500 0.000
Mo1 Mo 0.000 0.000 0.238
Mo2 Mo 0.000 0.000 0.762
Mo3 Mo 0.333 0.667 0.500
Mo4 Mo 0.667 0.333 0.500
# ΔE to the lowest computed polymorph, eV per formula unit: 5.72
# SG: No. 191



No. 7
# MnOsAu2, relaxed, DFT PBE-GGA
data_MnOsAu2
_chemical_formula_sum 'Mn1 Os1 Au2'
_cell_length_a 2.740
_cell_length_b 4.118
_cell_length_c 5.700
_cell_angle_alpha 90.00
_cell_angle_beta 90.16
_cell_angle_gamma 90.00
_space_group_name_H-M_alt 'P 1'
_space_group_IT_number 1
loop_
_space_group_symop_operation_xyz
'x,y,z'
loop_
_atom_site_label
_atom_site_type_symbol
_atom_site_fract_x
_atom_site_fract_y
_atom_site_fract_z
Mn1 Mn 0.000 0.000 0.000
Os1 Os 0.000 0.000 0.500
Au1 Au 0.499 0.500 0.249
Au2 Au 0.501 0.500 0.751
# ΔE to the lowest computed polymorph, eV per formula unit: 0.84
# SG: No. 10